Entry 1:
DyErCd6: optimized geometry, GGA-PBE.

* ΔH_f (0 K): -0.267 eV/atom
* density: 9.18 g/cm³
* energy above the most stable polymorph in this dataset: 12 kJ/mol of formula units
* crystal system: tetragonal

Cell lengths 5.044, 5.044, 7.139 Å; angles 90.00, 90.00, 90.00 degrees
Positions (direct):
Cd1 0.000 0.500 0.249
Cd2 0.500 0.000 0.249
Cd3 0.000 0.500 0.751
Cd4 0.500 0.500 0.000
Cd5 0.500 0.000 0.751
Cd6 0.000 0.000 0.500
Er1 0.000 0.000 0.000
Dy1 0.500 0.500 0.500

***

Entry 2:
Tm2H2I3Br: optimized geometry, GGA-PBE.

* density: 6.22 g/cm³
* raw total energy: -31.8 eV per cell
* crystal system: trigonal

Cell lengths 3.905, 3.905, 16.177 Å; angles 90.00, 90.00, 120.00 degrees
Positions (direct):
H1 0.333 0.667 0.248
H2 0.000 0.000 0.750
I1 0.333 0.667 0.880
I2 0.000 0.000 0.375
I3 0.333 0.667 0.620
Br1 0.000 0.000 0.131
Tm1 0.667 0.333 0.245
Tm2 0.667 0.333 0.750

***

Entry 3:
HoScNi4: optimized geometry, GGA-PBE.

* ΔH_f (0 K): -0.488 eV/atom
* density: 8.63 g/cm³
* crystal system: cubic

Cell lengths 4.947, 4.947, 4.947 Å; angles 60.00, 60.00, 60.00 degrees
Positions (direct):
Ni1 0.374 0.374 0.374
Ni2 0.374 0.877 0.374
Ni3 0.374 0.374 0.877
Ni4 0.877 0.374 0.374
Ho1 0.750 0.750 0.750
Sc1 0.000 0.000 0.000

***

Entry 4:
Mg2Co: optimized geometry, GGA-PBE.

* density: 3.72 g/cm³
* raw total energy: -38.1 eV per cell
* crystal system: orthorhombic

Cell lengths 4.874, 8.630, 4.569 Å; angles 90.00, 90.00, 90.00 degrees
Positions (direct):
Mg1 0.361 0.333 0.500
Mg2 0.291 0.648 0.500
Mg3 0.542 0.148 0.000
Mg4 0.999 0.333 0.000
Mg5 0.291 0.018 0.500
Mg6 0.542 0.518 0.000
Mg7 0.834 0.833 0.500
Mg8 0.473 0.833 0.000
Co1 0.007 0.669 0.000
Co2 0.007 0.998 0.000
Co3 0.826 0.169 0.500
Co4 0.826 0.498 0.500

***

Entry 5:
SnPd15: optimized geometry, GGA-PBE.

* density: 7.75 g/cm³
* energy above the most stable polymorph in this dataset: 43 kJ/mol of formula units
* crystal system: monoclinic

Cell lengths 4.770, 34.177, 4.770 Å; angles 90.00, 109.15, 90.00 degrees
Positions (direct):
Pd1 0.000 0.355 0.750
Pd2 0.000 0.438 0.750
Pd3 0.000 0.313 0.250
Pd4 0.500 0.521 0.250
Pd5 0.000 0.479 0.250
Pd6 0.500 0.728 0.750
Pd7 0.000 0.397 0.250
Pd8 0.000 0.603 0.750
Pd9 0.500 0.645 0.750
Pd10 0.500 0.562 0.750
Pd11 0.500 0.229 0.750
Pd12 0.500 0.313 0.750
Pd13 0.500 0.438 0.250
Pd14 0.000 0.273 0.750
Pd15 0.500 0.813 0.750
Pd16 0.500 0.771 0.250
Pd17 0.000 0.771 0.750
Pd18 0.500 0.397 0.750
Pd19 0.500 0.603 0.250
Pd20 0.000 0.687 0.750
Pd21 0.500 0.355 0.250
Pd22 0.000 0.521 0.750
Pd23 0.500 0.272 0.250
Pd24 0.000 0.562 0.250
Pd25 0.500 0.479 0.750
Pd26 0.000 0.645 0.250
Pd27 0.000 0.229 0.250
Pd28 0.000 0.727 0.250
Pd29 0.500 0.187 0.250
Pd30 0.500 0.687 0.250
Sn1 0.000 0.811 0.250
Sn2 0.000 0.189 0.750

***

Entry 6:
Pr3Mg3PdPt2: optimized geometry, GGA-PBE.

* density: 7.88 g/cm³
* raw total energy: -43.6 eV per cell
* crystal system: hexagonal

Cell lengths 7.667, 7.667, 4.107 Å; angles 90.00, 90.00, 120.00 degrees
Positions (direct):
Mg1 0.000 0.240 0.500
Mg2 0.760 0.760 0.500
Mg3 0.240 0.000 0.500
Pt1 0.333 0.667 0.500
Pt2 0.667 0.333 0.500
Pd1 0.000 0.000 0.000
Pr1 0.415 0.415 0.000
Pr2 0.585 0.000 0.000
Pr3 0.000 0.585 0.000